# 1
GdHo3Cl | GGA-PBE | optimized geometry

a b c (Å): 5.260 5.260 5.260
angles (deg): 90.00 90.00 90.00
Element x y z (fractional)
1 Ho 0.500 0.000 0.000
2 Cl 0.000 0.000 0.000
3 Gd 0.500 0.500 0.500
4 Ho 0.000 0.000 0.500
5 Ho 0.000 0.500 0.000

Calculated values
Its total energy is -6.3604 eV/atom. Its space group is Pm-3m (221). Its crystal system is cubic.


# 2
TiOsIN2 | GGA-PBE | optimized geometry

a b c (Å): 3.899 3.899 5.917
angles (deg): 90.00 90.00 90.00
Element x y z (fractional)
1 N 0.000 0.500 0.000
2 Ti 0.000 0.000 0.000
3 N 0.500 0.000 0.000
4 I 0.000 0.000 0.500
5 Os 0.500 0.500 0.500

Calculated values
Its total energy is -6.1895 eV/atom. Its space group is P4/mmm (123). Its crystal system is tetragonal. The distance to the lowest polymorph of the same formula is 382 meV per atom.


# 3
Ac2UCu2N6 | GGA-PBE | optimized geometry

a b c (Å): 5.914 5.914 6.516
angles (deg): 63.01 63.01 60.00
Element x y z (fractional)
1 N 0.240 0.778 0.742
2 N 0.222 0.760 0.258
3 N 0.760 0.222 0.258
4 U 0.000 0.000 0.000
5 Cu 0.419 0.419 0.742
6 N 0.240 0.240 0.742
7 Ac 0.781 0.781 0.657
8 N 0.778 0.240 0.742
9 Ac 0.219 0.219 0.343
10 N 0.760 0.760 0.258
11 Cu 0.581 0.581 0.258

Calculated values
Its total energy is -7.5382 eV/atom. Its space group is R-3m (166). Its crystal system is trigonal.